[1]
A plane-wave DFT calculation with GGA-PBEsol was carried out for LiCaTl2 after structural relaxation.

Lattice parameters (Å, degrees): 3.5244 3.5244 7.6018 90.00 90.00 90.00
Space group P4/mmm (No. 123)
Inequivalent atoms, fractional coordinates:
1 Li 0.0000 0.0000 0.0000 [1 per cell]
2 Ca 0.0000 0.0000 0.5000 [1 per cell]
3 Tl 0.5000 0.5000 0.2136 [2 per cell]

Computed properties:
VASP energy   -2.711 eV per atom
ΔH_f (0 K)   -1.5 eV/f.u.
N(E_F)   0.443 states/eV per atom

---

[2]
A plane-wave DFT calculation with GGA-PBEsol was carried out for CoPPd2 after structural relaxation.

Lattice parameters (Å, degrees): 3.6113 3.6113 17.0242 90.00 90.00 90.00
Space group I-42d (No. 122)
Inequivalent atoms, fractional coordinates:
1 Co 0.0000 0.0000 0.0000 [4 per cell]
2 P 0.0000 0.0000 0.5000 [4 per cell]
3 Pd 0.2468 0.2500 0.6250 [8 per cell]

Computed properties:
VASP energy   -6.247 eV per atom
ΔH_f (0 K)   0.5 eV/f.u.
N(E_F)   1.416 states/eV per atom

---

[3]
A plane-wave DFT calculation with GGA-PBEsol was carried out for Re2SiCl after structural relaxation.

Lattice parameters (Å, degrees): 2.8695 4.0311 10.0428 90.00 90.00 90.00
Space group Imm2 (No. 44)
Inequivalent atoms, fractional coordinates:
1 Re 0.0000 0.0000 0.0000 [2 per cell]
2 Re 0.0000 0.5000 0.2629 [2 per cell]
3 Si 0.0000 0.5000 0.7041 [2 per cell]
4 Cl 0.0000 0.0000 0.4666 [2 per cell]

Computed properties:
Raw formation energy   0.6161 eV/atom
VASP energy   -7.989 eV per atom
N(E_F)   0.773 states/eV per atom

---

[4]
A plane-wave DFT calculation with GGA-PBEsol was carried out for MgCr4Ir after structural relaxation.

Lattice parameters (Å, degrees): 6.6993 6.6993 6.6993 90.00 90.00 90.00
Space group F-43m (No. 216)
Inequivalent atoms, fractional coordinates:
1 Mg 0.0000 0.0000 0.0000 [4 per cell]
2 Cr 0.1273 0.1273 0.3727 [16 per cell]
3 Ir 0.2500 0.2500 0.7500 [4 per cell]

Computed properties:
VASP energy   -8.631 eV per atom
ΔH_f (0 K)   0.7 eV/f.u.
N(E_F)   1.111 states/eV per atom

---

Which of these has the lowest VASP energy?
MgCr4Ir

---

VASP energy of number 1 (LiCaTl2)?
-2.711 eV per atom